Record 1
# HgRh2Cl

HgRh2Cl after structural relaxation (PBE-GGA, the Alexandria database).

Summary:
Relative energy among the computed polymorphs   199 meV per atom
V   17.47 Å³ per atom
Formation energy from raw total energies   31.75 kJ per mole of atoms
ρ   10.50 g/cm³
VASP energy   -3.88 eV per atom
Crystal system   orthorhombic

Cell: 3.145 3.881 5.724 Å, 90.00 90.00 90.00°
Atoms (fractional coordinates):
Hg  0.000  0.000  0.000
Rh  0.500  0.500  0.248
Rh  0.500  0.500  0.752
Cl  0.500  0.000  0.500

=====

Record 2
# HgRh2Cl

HgRh2Cl after structural relaxation (PBE-GGA, the Alexandria database).

Summary:
Relative energy among the computed polymorphs   75 meV per atom
V   18.20 Å³ per atom
Formation energy from raw total energies   19.79 kJ per mole of atoms
ρ   10.08 g/cm³
VASP energy   -4.01 eV per atom
Crystal system   tetragonal

Cell: 3.032 3.032 7.921 Å, 90.00 90.00 90.00°
Atoms (fractional coordinates):
Hg  0.000  0.000  0.000
Rh  0.000  0.000  0.445
Rh  0.500  0.500  0.241
Cl  0.500  0.500  0.659

=====

Record 3
# HgRh2Cl

HgRh2Cl after structural relaxation (PBE-GGA, the Alexandria database).

Summary:
Relative energy among the computed polymorphs   313 meV per atom
V   16.48 Å³ per atom
Formation energy from raw total energies   42.77 kJ per mole of atoms
ρ   11.13 g/cm³
VASP energy   -3.77 eV per atom
Crystal system   tetragonal

Cell: 3.031 3.031 7.172 Å, 90.00 90.00 90.00°
Atoms (fractional coordinates):
Hg  0.000  0.000  0.000
Rh  0.500  0.500  0.269
Rh  0.500  0.500  0.731
Cl  0.000  0.000  0.500